Below is a geometry-optimized Al4GaFe5 structure, with properties calculated at the GGA-PBE level.

Summary:
formation enthalpy at 0 K = -26.5 kJ per mole of atoms
calculated total energy = -6.306 eV/atom
density = 6.36 g cm⁻³

Cell lengths 2.877, 2.877, 14.411 Å; angles 90.00, 90.00, 90.00 degrees
Positions (direct):
1 Fe 0.500 0.500 0.699
2 Al 0.000 0.000 0.202
3 Fe 0.500 0.500 0.500
4 Fe 0.500 0.500 0.301
5 Ga 0.000 0.000 0.000
6 Fe 0.500 0.500 0.900
7 Al 0.000 0.000 0.400
8 Al 0.000 0.000 0.600
9 Al 0.000 0.000 0.798
10 Fe 0.500 0.500 0.100

Below is a geometry-optimized YMnTe2 structure, with properties calculated at the GGA-PBE level.

Summary:
uncorrected formation energy = -40.05 kJ/mol of atoms
calculated total energy = -5.894 eV/atom
density = 6.32 g cm⁻³

Cell lengths 6.553, 6.553, 6.553 Å; angles 142.23, 142.23, 54.48 degrees
Positions (direct):
1 Te 0.250 0.750 0.500
2 Mn 0.750 0.250 0.500
3 Te 0.000 0.000 0.000
4 Y 0.500 0.500 0.000

Below is a geometry-optimized KCaTcRh2 structure, with properties calculated at the GGA-PBE level.

Summary:
formation enthalpy at 0 K = 162.5 kJ per mole of atoms
calculated total energy = -3.949 eV/atom
density = 5.22 g cm⁻³

Cell lengths 4.899, 5.075, 4.899 Å; angles 90.00, 90.00, 90.00 degrees
Positions (direct):
1 Rh 0.500 0.000 0.000
2 K 0.000 0.500 0.000
3 Ca 0.000 0.000 0.000
4 Rh 0.000 0.000 0.500
5 Tc 0.500 0.500 0.500

Below is a geometry-optimized SmEr2Tm3Bi6 structure, with properties calculated at the GGA-PBE level.

Summary:
formation enthalpy at 0 K = -78.6 kJ per mole of atoms
calculated total energy = -5.026 eV/atom
density = 9.92 g cm⁻³

Cell lengths 4.458, 8.918, 9.966 Å; angles 102.86, 102.92, 90.00 degrees
Positions (direct):
1 Tm 0.165 0.832 0.331
2 Tm 0.835 0.168 0.669
3 Bi 0.669 0.084 0.339
4 Bi 0.000 0.256 0.001
5 Er 0.167 0.333 0.334
6 Bi 0.331 0.916 0.661
7 Bi 0.000 0.744 0.999
8 Bi 0.334 0.416 0.667
9 Er 0.833 0.667 0.666
10 Bi 0.666 0.584 0.333
11 Sm 0.500 0.000 0.000
12 Tm 0.500 0.500 0.000

Below is a geometry-optimized ErGa5Co2Ni structure, with properties calculated at the GGA-PBE level.

Summary:
formation enthalpy at 0 K = -13.7 kJ per mole of atoms
calculated total energy = -4.552 eV/atom
density = 7.87 g cm⁻³

Cell lengths 4.573, 4.573, 6.984 Å; angles 90.00, 90.00, 90.00 degrees
Positions (direct):
1 Co 0.500 0.500 0.823
2 Ga 0.500 0.000 0.193
3 Ga 0.500 0.500 0.500
4 Ni 0.000 0.000 0.000
5 Ga 0.000 0.500 0.807
6 Ga 0.500 0.000 0.807
7 Co 0.500 0.500 0.177
8 Er 0.000 0.000 0.500
9 Ga 0.000 0.500 0.193

Below is a geometry-optimized Sb2Pd4Pt3 structure, with properties calculated at the GGA-PBE level.

Summary:
uncorrected formation energy = -22.12 kJ/mol of atoms
calculated total energy = -5.467 eV/atom
density = 13.66 g cm⁻³

Cell lengths 4.119, 6.113, 6.875 Å; angles 111.47, 107.50, 89.96 degrees
Positions (direct):
1 Pd 0.782 0.165 0.565
2 Pd 0.441 0.145 0.882
3 Pt 0.877 0.798 0.753
4 Sb 0.351 0.484 0.702
5 Pt 0.123 0.202 0.247
6 Sb 0.649 0.516 0.298
7 Pd 0.218 0.835 0.435
8 Pd 0.559 0.855 0.118
9 Pt 0.000 0.500 0.000